Material: Ac2La2NdY6
Method: DFT, PBE-GGA
State: optimized geometry

formation energy	178	meV per atom
energy	-5.424	eV/atom

Geometry as CIF:
```
data_Ac2La2NdY6
_chemical_formula_sum 'Ac4 La4 Nd2 Y12'
_space_group_name_H-M_alt 'C 1 2/m 1'
_space_group_IT_number 12
_cell_length_a 6.2978
_cell_length_b 10.9991
_cell_length_c 12.0820
_cell_angle_alpha 90.00
_cell_angle_beta 100.46
_cell_angle_gamma 90.00
loop_
_space_group_symop_operation_xyz
'x,y,z'
'-x,-y,-z'
'-x,y,-z'
'x,-y,z'
'x+1/2,y+1/2,z'
'-x+1/2,-y+1/2,-z'
'-x+1/2,y+1/2,-z'
'x+1/2,-y+1/2,z'
loop_
_atom_site_label
_atom_site_type_symbol
_atom_site_fract_x
_atom_site_fract_y
_atom_site_fract_z
Ac1 Ac 0.0000 0.1652 0.0000
La1 La 0.0000 0.3357 0.5000
Nd1 Nd 0.0000 0.0000 0.5000
Y1 Y 0.2490 0.3347 0.2550
Y2 Y 0.2504 0.0000 0.2563
```

Material: ZrNi4
Method: DFT, PBE-GGA
State: optimized geometry

formation energy	-163	meV per atom
energy	-6.498	eV/atom
energy relative to the lowest polymorph listed for this composition	99.4	meV per atom

Geometry as CIF:
```
data_ZrNi4
_chemical_formula_sum 'Zr8 Ni32'
_space_group_name_H-M_alt 'I -4 3 m'
_space_group_IT_number 217
_space_group_name_Hall 'I -4 2 3'
_cell_length_a 8.1460
_cell_length_b 8.1460
_cell_length_c 8.1460
_cell_angle_alpha 90.00
_cell_angle_beta 90.00
_cell_angle_gamma 90.00
loop_
_atom_site_label
_atom_site_type_symbol
_atom_site_fract_x
_atom_site_fract_y
_atom_site_fract_z
Zr1 Zr 0.2208 0.2208 0.2208
Ni1 Ni 0.0000 0.0000 0.3494
Ni2 Ni 0.0000 0.2500 0.5000
Ni3 Ni 0.1032 0.1032 0.8968
```

Material: Ac2BiPtO8
Method: DFT, PBE-GGA
State: optimized geometry

energy	-6.657	eV/atom
formation energy (no corrections)	-22.08	eV per formula unit

Geometry as CIF:
```
data_Ac2BiPtO8
_chemical_formula_sum 'Ac2 Bi1 Pt1 O8'
_space_group_name_H-M_alt 'P -1'
_space_group_IT_number 2
_cell_length_a 5.3710
_cell_length_b 6.3971
_cell_length_c 6.4961
_cell_angle_alpha 75.43
_cell_angle_beta 75.37
_cell_angle_gamma 70.08
loop_
_space_group_symop_operation_xyz
'x,y,z'
'-x,-y,-z'
loop_
_atom_site_label
_atom_site_type_symbol
_atom_site_fract_x
_atom_site_fract_y
_atom_site_fract_z
Ac1 Ac 0.1212 0.1453 0.1850
Bi1 Bi 0.5000 0.5000 0.5000
Pt1 Pt 0.5000 0.5000 0.0000
O1 O 0.2412 0.8310 0.4816
O2 O 0.2616 0.4424 0.8346
O3 O 0.2768 0.4364 0.2924
O4 O 0.3001 0.8308 0.9652
```

Let's list size of the total moment in order: 0.000; 0.000; 0.087 μB/atom.